Material: TaSb2Te
Method: DFT, PBE
State: optimized geometry

As for the formation energy from raw total energies: 581 meV/atom. As for the volume: 23.61 Å³/atom. Its spin magnetization is 0.00 μB per formula unit. The symmetry is P4/mmm.

a = 5.272 Å, b = 5.272 Å, c = 3.397 Å
α = 90.00°, β = 90.00°, γ = 90.00°
Atoms (fractional coordinates):
Ta 0.000 0.000 0.000
Sb 0.000 0.500 0.500
Sb 0.500 0.000 0.500
Te 0.500 0.500 0.000



Material: Ta2SbTe2
Method: DFT, PBE
State: optimized geometry

As for the formation energy from raw total energies: 488 meV/atom. As for the volume: 25.30 Å³/atom. Its spin magnetization is 0.00 μB per formula unit. The symmetry is I4/mmm.

a = 4.941 Å, b = 4.941 Å, c = 10.365 Å
α = 90.00°, β = 90.00°, γ = 90.00°
Atoms (fractional coordinates):
Ta 0.000 0.500 0.250
Ta 0.000 0.500 0.750
Ta 0.500 0.000 0.250
Ta 0.500 0.000 0.750
Sb 0.000 0.000 0.000
Sb 0.500 0.500 0.500
Te 0.000 0.000 0.359
Te 0.000 0.000 0.641
Te 0.500 0.500 0.141
Te 0.500 0.500 0.859



Material: TaSb2Te
Method: DFT, PBE
State: optimized geometry

As for the formation energy from raw total energies: 518 meV/atom. As for the volume: 25.32 Å³/atom. Its spin magnetization is 0.00 μB per formula unit. The symmetry is C2/m.

a = 5.944 Å, b = 9.049 Å, c = 4.213 Å
α = 90.00°, β = 116.62°, γ = 90.00°
Atoms (fractional coordinates):
Ta 0.000 0.000 0.000
Ta 0.500 0.500 0.000
Sb 0.250 0.250 0.500
Sb 0.250 0.750 0.500
Sb 0.750 0.250 0.500
Sb 0.750 0.750 0.500
Te 0.000 0.500 0.000
Te 0.500 0.000 0.000



Material: TaSb2Te
Method: DFT, PBE
State: optimized geometry

As for the formation energy from raw total energies: 49 meV/atom. As for the volume: 24.69 Å³/atom. Its spin magnetization is 0.00 μB per formula unit. The symmetry is P4mm.

a = 3.550 Å, b = 3.550 Å, c = 7.834 Å
α = 90.00°, β = 90.00°, γ = 90.00°
Atoms (fractional coordinates):
Ta 0.000 0.000 0.000
Sb 0.000 0.000 0.575
Sb 0.500 0.500 0.807
Te 0.500 0.500 0.210